1.
Compound: LiCu2Re
Source: Alexandria
Functional: GGA-PBEsol
Structure: optimized geometry

Calculated values
As for the crystal system: orthorhombic. The formation energy comes out at 1.1 eV per formula unit. Its density of states at the Fermi level is 2.5 states/eV per cell.

Lattice parameters (Å, degrees): 2.4801 3.8399 5.3086 90.00 90.00 90.00
Last column: nearest neighbours and their distance in Å.
Atoms (fractional coordinates):
Li: 0.5000 0.5000 0.0000  2 Li 2.48, 2 Re 2.65, 8 Cu 2.66
Re: 0.5000 0.5000 0.5000  2 Re 2.48, 8 Cu 2.63, 2 Li 2.65
Cu: 0.0000 0.0000 0.2557  4 Cu 2.48-2.72, 4 Re 2.63, 4 Li 2.66
Cu: 0.0000 0.0000 0.7443  4 Cu 2.48-2.72, 4 Re 2.63, 4 Li 2.66


2.
Compound: LiCu2Re
Source: Alexandria
Functional: GGA-PBEsol
Structure: optimized geometry

Calculated values
As for the crystal system: orthorhombic. The formation energy comes out at 1.8 eV per formula unit. Its density of states at the Fermi level is 2.5 states/eV per cell.

Lattice parameters (Å, degrees): 2.5169 4.4193 4.4590 90.00 90.00 90.00
Last column: nearest neighbours and their distance in Å.
Atoms (fractional coordinates):
Re: 0.0000 0.5000 0.5000  2 Re 2.52, 4 Li 2.54, 4 Cu 2.56
Cu: 0.0000 0.0000 0.0000  6 Cu 2.52-2.54, 4 Li 2.56
Cu: 0.5000 0.5000 0.0000  6 Cu 2.52-2.54, 4 Re 2.56
Li: 0.5000 0.0000 0.5000  2 Li 2.52, 4 Re 2.54, 4 Cu 2.56